[1]
Compound: SrCdPb
Source: Alexandria
Functional: PBEsol
Structure: optimized geometry Values from VASP.

DOS(E_F), states/eV/f.u.: 1.07
Calculated formation energy, meV per atom: -437
Size of the total moment, Bohr magnetons per cell: 0.000

Geometry as Quantum ESPRESSO input:
```
&SYSTEM
  ibrav = 0, nat = 6, ntyp = 3
/
ATOMIC_SPECIES
Sr 87.62 Sr.upf
Cd 112.41 Cd.upf
Pb 207.20 Pb.upf
CELL_PARAMETERS angstrom
5.8755 -2.5080 0.0000
5.8755 2.5080 0.0000
-5.2528 0.0000 6.0253
ATOMIC_POSITIONS angstrom
Sr -1.0428 0.0000 1.7892
Sr 7.5410 0.0000 4.2361
Cd -0.6638 0.0000 5.4447
Cd 7.1619 0.0000 0.5806
Pb 2.4422 0.0000 1.6637
Pb 4.0560 0.0000 4.3616
```

---

[2]
Compound: MgReIr3
Source: Alexandria
Functional: PBEsol
Structure: optimized geometry Values from VASP.

DOS(E_F), states/eV/f.u.: 4.88
Calculated formation energy, meV per atom: 1426
Size of the total moment, Bohr magnetons per cell: 0.001

Geometry as Quantum ESPRESSO input:
```
&SYSTEM
  ibrav = 0, nat = 5, ntyp = 3
/
ATOMIC_SPECIES
Mg 24.30 Mg.upf
Re 186.21 Re.upf
Ir 192.22 Ir.upf
CELL_PARAMETERS angstrom
4.7095 0.0000 0.0000
0.0000 4.7095 0.0000
0.0000 0.0000 4.7095
ATOMIC_POSITIONS angstrom
Mg 0.0000 0.0000 0.0000
Re 2.3548 2.3548 2.3548
Ir 0.0000 2.3548 2.3548
Ir 2.3548 0.0000 2.3548
Ir 2.3548 2.3548 0.0000
```

---

[3]
Compound: BaSrO2
Source: Alexandria
Functional: PBEsol
Structure: optimized geometry Values from VASP.

Relative energy among the computed polymorphs, meV/atom: 0
DOS(E_F), states/eV/f.u.: 0.00
Size of the total moment, Bohr magnetons per cell: 0.003
Raw formation energy, eV per atom: -2.61

Geometry as Quantum ESPRESSO input:
```
&SYSTEM
  ibrav = 0, nat = 4, ntyp = 3
/
ATOMIC_SPECIES
Ba 137.33 Ba.upf
Sr 87.62 Sr.upf
O 16.00 O.upf
CELL_PARAMETERS angstrom
1.8822 1.0867 6.1803
-1.8822 1.0867 6.1803
0.0000 -2.1733 6.1803
ATOMIC_POSITIONS angstrom
Ba 0.0000 0.0000 0.0000
Sr 0.0000 0.0000 9.2705
O 0.0000 0.0000 4.5327
O 0.0000 0.0000 14.0083
```

---

[4]
Compound: Co2RuPt
Source: Alexandria
Functional: PBEsol
Structure: optimized geometry Values from VASP.

Relative energy among the computed polymorphs, meV/atom: 0
DOS(E_F), states/eV/f.u.: 4.61
Calculated formation energy, meV per atom: 92
Size of the total moment, Bohr magnetons per cell: 3.185

Geometry as Quantum ESPRESSO input:
```
&SYSTEM
  ibrav = 0, nat = 4, ntyp = 3
/
ATOMIC_SPECIES
Co 58.93 Co.upf
Ru 101.07 Ru.upf
Pt 195.08 Pt.upf
CELL_PARAMETERS angstrom
3.9464 0.0000 0.0000
0.0000 1.3023 4.7831
0.0000 -1.3023 4.7831
ATOMIC_POSITIONS angstrom
Co 0.0000 0.0000 0.0000
Co 1.9732 0.0000 1.2301
Ru 0.0000 0.0000 7.0015
Pt 1.9732 0.0000 3.7234
```

---

[5]
Compound: CrCdGaAs2
Source: Alexandria
Functional: PBEsol
Structure: optimized geometry Values from VASP.

DOS(E_F), states/eV/f.u.: 2.75
Calculated formation energy, meV per atom: 1109
Size of the total moment, Bohr magnetons per cell: 4.339

Geometry as Quantum ESPRESSO input:
```
&SYSTEM
  ibrav = 0, nat = 5, ntyp = 4
/
ATOMIC_SPECIES
Cr 52.00 Cr.upf
Cd 112.41 Cd.upf
Ga 69.72 Ga.upf
As 74.92 As.upf
CELL_PARAMETERS angstrom
5.1100 0.0000 0.0000
0.0000 5.1100 0.0000
0.0000 0.0000 4.8840
ATOMIC_POSITIONS angstrom
Cr 0.0000 0.0000 0.0000
Cd 2.5550 2.5550 2.4420
Ga 2.5550 2.5550 0.0000
As 0.0000 2.5550 2.4420
As 2.5550 0.0000 2.4420
```

---

[6]
Compound: ErAlGa
Source: Alexandria
Functional: PBEsol
Structure: optimized geometry Values from VASP.

DOS(E_F), states/eV/f.u.: 1.00
Calculated formation energy, meV per atom: -595
Size of the total moment, Bohr magnetons per cell: 0.000

Geometry as Quantum ESPRESSO input:
```
&SYSTEM
  ibrav = 0, nat = 3, ntyp = 3
/
ATOMIC_SPECIES
Er 167.26 Er.upf
Al 26.98 Al.upf
Ga 69.72 Ga.upf
CELL_PARAMETERS angstrom
4.3983 0.0000 0.0000
-2.1991 3.8090 0.0000
0.0000 0.0000 3.4433
ATOMIC_POSITIONS angstrom
Er 0.0000 0.0000 0.0000
Al 2.1991 1.2697 1.7216
Ga 0.0000 2.5394 1.7216
```

---

[7]
Compound: CaY2Cd2
Source: Alexandria
Functional: PBEsol
Structure: optimized geometry Values from VASP.

DOS(E_F), states/eV/f.u.: 5.63
Calculated formation energy, meV per atom: -244
Size of the total moment, Bohr magnetons per cell: 0.001

Geometry as Quantum ESPRESSO input:
```
&SYSTEM
  ibrav = 0, nat = 10, ntyp = 3
/
ATOMIC_SPECIES
Ca 40.08 Ca.upf
Y 88.91 Y.upf
Cd 112.41 Cd.upf
CELL_PARAMETERS angstrom
8.5792 0.0000 0.0000
0.0000 8.5792 0.0000
0.0000 0.0000 3.7658
ATOMIC_POSITIONS angstrom
Ca 0.0000 0.0000 0.0000
Ca 4.2896 4.2896 0.0000
Y 1.4220 2.8676 1.8829
Y 2.8676 7.1571 1.8829
Y 5.7116 1.4220 1.8829
Y 7.1571 5.7116 1.8829
Cd 1.1109 5.4005 0.0000
Cd 3.1786 1.1109 0.0000
Cd 5.4005 7.4682 0.0000
Cd 7.4682 3.1786 0.0000
```

---

[8]
Compound: MnZnCdTe3
Source: Alexandria
Functional: PBEsol
Structure: optimized geometry Values from VASP.

Size of the total moment, Bohr magnetons per cell: 5.002
Raw formation energy, eV per atom: -0.21

Geometry as Quantum ESPRESSO input:
```
&SYSTEM
  ibrav = 0, nat = 6, ntyp = 4
/
ATOMIC_SPECIES
Mn 54.94 Mn.upf
Zn 65.41 Zn.upf
Cd 112.41 Cd.upf
Te 127.60 Te.upf
CELL_PARAMETERS angstrom
-2.2076 2.2130 9.4028
2.2076 -2.2130 9.4028
2.2076 2.2130 -9.4028
ATOMIC_POSITIONS angstrom
Mn 0.0000 0.0000 0.0000
Zn 0.0000 0.0000 6.3957
Cd 0.0000 0.0000 12.6397
Te 2.2076 0.0000 4.9402
Te 0.0000 2.2130 1.5140
Te 0.0000 2.2130 7.8664
```

---

[9]
Compound: Y3Rh
Source: Alexandria
Functional: PBEsol
Structure: optimized geometry Values from VASP.

DOS(E_F), states/eV/f.u.: 4.12
Calculated formation energy, meV per atom: -253
Size of the total moment, Bohr magnetons per cell: 0.676

Geometry as Quantum ESPRESSO input:
```
&SYSTEM
  ibrav = 0, nat = 4, ntyp = 2
/
ATOMIC_SPECIES
Y 88.91 Y.upf
Rh 102.91 Rh.upf
CELL_PARAMETERS angstrom
3.6680 0.0000 0.0000
-1.8340 3.1766 0.0000
0.0000 0.0000 9.2742
ATOMIC_POSITIONS angstrom
Y 0.0000 0.0000 0.0000
Y 1.8340 1.0589 2.8711
Y 1.8340 1.0589 6.4031
Rh 0.0000 0.0000 4.6371
```

---

[10]
Compound: MgMoBr2
Source: Alexandria
Functional: PBEsol
Structure: optimized geometry Values from VASP.

Relative energy among the computed polymorphs, meV/atom: 469
DOS(E_F), states/eV/f.u.: 3.08
Size of the total moment, Bohr magnetons per cell: 0.003
Raw formation energy, eV per atom: 0.36

Geometry as Quantum ESPRESSO input:
```
&SYSTEM
  ibrav = 0, nat = 4, ntyp = 3
/
ATOMIC_SPECIES
Mg 24.30 Mg.upf
Mo 95.94 Mo.upf
Br 79.90 Br.upf
CELL_PARAMETERS angstrom
0.0000 3.3009 3.3009
3.3009 0.0000 3.3009
3.3009 3.3009 0.0000
ATOMIC_POSITIONS angstrom
Mg 0.0000 0.0000 0.0000
Mo 3.3009 3.3009 3.3009
Br 1.6504 1.6504 1.6504
Br 4.9513 4.9513 4.9513
```

---

[11]
Compound: FeBMoN2
Source: Alexandria
Functional: PBEsol
Structure: optimized geometry Values from VASP.

DOS(E_F), states/eV/f.u.: 4.57
Size of the total moment, Bohr magnetons per cell: 1.670
Raw formation energy, eV per atom: 1.05

Geometry as Quantum ESPRESSO input:
```
&SYSTEM
  ibrav = 0, nat = 5, ntyp = 4
/
ATOMIC_SPECIES
Fe 55.84 Fe.upf
B 10.81 B.upf
Mo 95.94 Mo.upf
N 14.01 N.upf
CELL_PARAMETERS angstrom
3.5173 0.0000 0.0000
0.0000 3.5173 0.0000
0.0000 0.0000 3.8856
ATOMIC_POSITIONS angstrom
Fe 0.0000 0.0000 0.0000
B 0.0000 0.0000 1.9428
Mo 1.7586 1.7586 1.9428
N 0.0000 1.7586 0.0000
N 1.7586 0.0000 0.0000
```

---

[12]
Compound: K2YCd
Source: Alexandria
Functional: PBEsol
Structure: optimized geometry Values from VASP.

DOS(E_F), states/eV/f.u.: 5.02
Calculated formation energy, meV per atom: 209
Size of the total moment, Bohr magnetons per cell: 0.365

Geometry as Quantum ESPRESSO input:
```
&SYSTEM
  ibrav = 0, nat = 4, ntyp = 3
/
ATOMIC_SPECIES
K 39.10 K.upf
Y 88.91 Y.upf
Cd 112.41 Cd.upf
CELL_PARAMETERS angstrom
1.9359 1.1177 12.5300
-1.9359 1.1177 12.5300
0.0000 -2.2354 12.5300
ATOMIC_POSITIONS angstrom
K 0.0000 0.0000 0.0000
K 0.0000 0.0000 8.4170
Y 0.0000 0.0000 28.5598
Cd 0.0000 0.0000 18.1871
```